# 1
The following is a PBE calculation of a relaxed structure of DyCo6Ge12, from the Alexandria database.

Lattice parameters (Å, degrees): 8.5557 8.5557 8.5557 90.00 90.00 90.00
Space group Im-3 (No. 204)
Inequivalent atoms, fractional coordinates:
Dy 0.0000 0.0000 0.0000 (multiplicity 2)
Co 0.0000 0.1547 0.5000 (multiplicity 12)
Ge 0.0000 0.3013 0.1632 (multiplicity 24)

Crystal system ... cubic
Calculated formation energy ... 0.075 eV/atom

=====

# 2
The following is a PBE calculation of a relaxed structure of Li3NpCr2S6, from the Alexandria database.

Lattice parameters (Å, degrees): 6.2784 10.8724 6.4567 90.00 108.86 90.00
Space group C2/m (No. 12)
Inequivalent atoms, fractional coordinates:
Li 0.0000 0.0000 0.0000 (multiplicity 2)
Li 0.0000 0.3350 0.0000 (multiplicity 4)
Np 0.0000 0.5000 0.5000 (multiplicity 2)
Cr 0.0000 0.1670 0.5000 (multiplicity 4)
S 0.2201 0.0000 0.7370 (multiplicity 4)
S 0.2424 0.1794 0.2650 (multiplicity 8)

Crystal system ... monoclinic
Raw formation energy ... -1.112 eV/atom

=====

# 3
The following is a PBE calculation of a relaxed structure of Tl2CrIn, from the Alexandria database.

Lattice parameters (Å, degrees): 6.3751 11.1354 3.3442 90.00 120.62 90.00
Space group C2/m (No. 12)
Inequivalent atoms, fractional coordinates:
Tl 0.2500 0.2500 0.0000 (multiplicity 4)
Cr 0.0000 0.0000 0.5000 (multiplicity 2)
In 0.0000 0.5000 0.5000 (multiplicity 2)

Crystal system ... monoclinic
Calculated formation energy ... 0.441 eV/atom

=====

# 4
The following is a PBE calculation of a relaxed structure of NbAlCo, from the Alexandria database.

Lattice parameters (Å, degrees): 3.8688 12.0599 5.9880 90.00 90.00 90.00
Space group Imm2 (No. 44)
Inequivalent atoms, fractional coordinates:
Nb 0.0000 0.0000 0.0000 (multiplicity 2)
Nb 0.0000 0.3349 0.0797 (multiplicity 4)
Al 0.0000 0.0000 0.5465 (multiplicity 2)
Al 0.0000 0.3306 0.5501 (multiplicity 4)
Co 0.0000 0.1591 0.3012 (multiplicity 4)
Co 0.0000 0.5000 0.7893 (multiplicity 2)

Crystal system ... orthorhombic
Calculated formation energy ... -0.183 eV/atom

=====

# 5
The following is a PBE calculation of a relaxed structure of CaSi2Mo, from the Alexandria database.

Lattice parameters (Å, degrees): 8.2707 3.5339 5.6235 90.00 107.38 90.00
Space group C2/m (No. 12)
Inequivalent atoms, fractional coordinates:
Ca 0.0000 0.0000 0.0000 (multiplicity 2)
Si 0.2288 0.0000 0.6379 (multiplicity 4)
Mo 0.0000 0.5000 0.5000 (multiplicity 2)

Crystal system ... monoclinic
Raw formation energy ... -0.253 eV/atom

=====

# 6
The following is a PBE calculation of a relaxed structure of Ba12P3N5, from the Alexandria database.

Lattice parameters (Å, degrees): 17.4405 17.4405 17.4405 90.00 90.00 90.00
Space group Ia-3d (No. 230)
Inequivalent atoms, fractional coordinates:
Ba 0.0278 0.0553 0.6516 (multiplicity 96)
P 0.0000 0.2500 0.1250 (multiplicity 24)
N 0.0000 0.0000 0.0000 (multiplicity 16)
N 0.0000 0.2500 0.3750 (multiplicity 24)

Crystal system ... cubic
Raw formation energy ... -0.588 eV/atom